Below is BaTe2Ru after structural relaxation, with properties calculated at the PBE level.

The value obtained for the volume is 124 Å³ per cell. The uncorrected formation energy comes out at -185 meV per atom. The energy relative to the lowest polymorph listed for this composition is 486 meV per atom. The calculation puts the total magnetic moment at 0.0 μB/f.u.

The structure belongs to space group Pmm2 (No. 25); the cell edges are 3.8770, 3.9179 and 8.1760 Å and the angles 90.00°, 90.00° and 90.00°. Symmetry generates all atoms from Ba at (0.0000, 0.0000, 0.0000), Te at (0.0000, 0.0000, 0.5854), Te at (0.5000, 0.5000, 0.2366) and Ru at (0.5000, 0.5000, 0.5554).


Below is Pr3YAs4 after structural relaxation, with properties calculated at the PBE level.

The value obtained for the volume is 219 Å³ per cell. The calculation puts the energy of formation at -1501 meV per atom. The energy relative to the lowest polymorph listed for this composition is 5 meV per atom. The calculation puts the total magnetic moment at 0.0 μB/f.u.

The structure belongs to space group Pm-3m (No. 221); the cell edges are 6.0309, 6.0309 and 6.0309 Å and the angles 90.00°, 90.00° and 90.00°. Symmetry generates all atoms from Pr at (0.0000, 0.0000, 0.5000), Y at (0.5000, 0.5000, 0.5000), As at (0.0000, 0.0000, 0.0000) and As at (0.0000, 0.5000, 0.5000).


Below is Pm3SmP4 after structural relaxation, with properties calculated at the PBE level.

The value obtained for the volume is 397 Å³ per cell. The calculation puts the energy of formation at -1566 meV per atom. The calculation puts the total magnetic moment at 0.0 μB/f.u.

The structure belongs to space group Cmmm (No. 65); the cell edges are 8.2513, 11.6651 and 4.1282 Å and the angles 90.00°, 90.00° and 90.00°. Symmetry generates all atoms from Pm at (0.0000, 0.0000, 0.0000), Pm at (0.2500, 0.2500, 0.5000), Sm at (0.0000, 0.5000, 0.0000), P at (0.0000, 0.2505, 0.0000) and P at (0.2491, 0.5000, 0.5000).


Below is TbRh4Pb after structural relaxation, with properties calculated at the PBE level.

The value obtained for the volume is 429 Å³ per cell. The calculation puts the energy of formation at -398 meV per atom. The calculation puts the total magnetic moment at 0.0 μB/f.u.

The structure belongs to space group F-43m (No. 216); the cell edges are 7.5431, 7.5431 and 7.5431 Å and the angles 90.00°, 90.00° and 90.00°. Symmetry generates all atoms from Tb at (0.0000, 0.0000, 0.0000), Rh at (0.1244, 0.1244, 0.3756) and Pb at (0.2500, 0.2500, 0.7500).


Below is Y6Tl2In after structural relaxation, with properties calculated at the PBE level.

The value obtained for the volume is 543 Å³ per cell. The calculation puts the energy of formation at -209 meV per atom. The calculation puts the total magnetic moment at 0.0 μB/f.u.

The structure belongs to space group P2_1/c (No. 14); the cell edges are 6.2118, 9.0483 and 10.9676 Å and the angles 90.00°, 118.23° and 90.00°. Symmetry generates all atoms from Y at (0.0441, 0.1659, 0.4391), Y at (0.3646, 0.6814, 0.4389), Y at (0.4128, 0.0309, 0.3041), Tl at (0.1714, 0.1257, 0.7540) and In at (0.0000, 0.0000, 0.0000).


Below is CaMnCo after structural relaxation, with properties calculated at the PBE level.

The value obtained for the volume is 223 Å³ per cell. The calculation puts the energy of formation at 237 meV per atom. The energy relative to the lowest polymorph listed for this composition is 41 meV per atom. The calculation puts the total magnetic moment at 0.0 μB/f.u.

The structure belongs to space group C2/m (No. 12); the cell edges are 5.9973, 5.3769 and 6.9198 Å and the angles 90.00°, 91.45° and 90.00°. Symmetry generates all atoms from Ca at (0.2470, 0.0000, 0.1688), Mn at (0.0000, 0.2798, 0.5000) and Co at (0.2151, 0.0000, 0.6446).


Below is Tb5TlPd4 after structural relaxation, with properties calculated at the PBE level.

The value obtained for the volume is 231 Å³ per cell. The calculation puts the energy of formation at -759 meV per atom. The calculation puts the total magnetic moment at 0.0 μB/f.u.

The structure belongs to space group P4/mmm (No. 123); the cell edges are 3.5782, 3.5782 and 18.0047 Å and the angles 90.00°, 90.00° and 90.00°. Symmetry generates all atoms from Tb at (0.0000, 0.0000, 0.0000), Tb at (0.0000, 0.0000, 0.1920), Tb at (0.0000, 0.0000, 0.3822), Tl at (0.5000, 0.5000, 0.5000), Pd at (0.5000, 0.5000, 0.0955) and Pd at (0.5000, 0.5000, 0.2890).


Below is Tl3BiSb2S6 after structural relaxation, with properties calculated at the PBE level.

The value obtained for the volume is 644 Å³ per cell. The uncorrected formation energy comes out at -350 meV per atom. The calculation puts the total magnetic moment at 0.0 μB/f.u.

The structure belongs to space group C2/m (No. 12); the cell edges are 7.0768, 12.2523 and 7.7934 Å and the angles 90.00°, 107.60° and 90.00°. Symmetry generates all atoms from Tl at (0.0000, 0.0000, 0.0000), Tl at (0.0000, 0.3348, 0.0000), Bi at (0.0000, 0.5000, 0.5000), Sb at (0.0000, 0.1666, 0.5000), S at (0.2285, 0.0000, 0.7055) and S at (0.2391, 0.3302, 0.7075).


Below is HgRhW2 after structural relaxation, with properties calculated at the PBE level.

The value obtained for the volume is 132 Å³ per cell. The calculation puts the energy of formation at 502 meV per atom. The calculation puts the total magnetic moment at 0.0 μB/f.u.

The structure belongs to space group I-4m2 (No. 119); the cell edges are 4.0854, 4.0854 and 7.9023 Å and the angles 90.00°, 90.00° and 90.00°. Symmetry generates all atoms from Hg at (0.0000, 0.0000, 0.0000), Rh at (0.0000, 0.5000, 0.7500), W at (0.0000, 0.0000, 0.5000) and W at (0.0000, 0.5000, 0.2500).


Below is SmZrGaHg after structural relaxation, with properties calculated at the PBE level.

The value obtained for the volume is 370 Å³ per cell. The calculation puts the energy of formation at -336 meV per atom. The calculation puts the total magnetic moment at 0.0 μB/f.u.

The structure belongs to space group F-43m (No. 216); the cell edges are 7.1804, 7.1804 and 7.1804 Å and the angles 90.00°, 90.00° and 90.00°. Symmetry generates all atoms from Sm at (0.0000, 0.0000, 0.0000), Zr at (0.0000, 0.0000, 0.5000), Ga at (0.2500, 0.2500, 0.2500) and Hg at (0.2500, 0.2500, 0.7500).


Below is Th3HgRu after structural relaxation, with properties calculated at the PBE level.

The value obtained for the volume is 1121 Å³ per cell. The calculation puts the energy of formation at -265 meV per atom. The energy relative to the lowest polymorph listed for this composition is 0 meV per atom. The calculation puts the total magnetic moment at 0.0 μB/f.u.

The structure belongs to space group Fmmm (No. 69); the cell edges are 6.5087, 10.4142 and 16.5367 Å and the angles 90.00°, 90.00° and 90.00°. Symmetry generates all atoms from Th at (0.0000, 0.0000, 0.1909), Th at (0.0000, 0.1773, 0.3835), Hg at (0.2164, 0.0000, 0.0000) and Ru at (0.2500, 0.2500, 0.2500).


Below is Co4Ni7Ir after structural relaxation, with properties calculated at the PBE level.

The value obtained for the volume is 297 Å³ per cell. The calculation puts the energy of formation at 460 meV per atom. The energy relative to the lowest polymorph listed for this composition is 455 meV per atom. The calculation puts the total magnetic moment at 12.9 μB/f.u.

The structure belongs to space group C2/m (No. 12); the cell edges are 8.8760, 4.3975 and 8.6697 Å and the angles 90.00°, 118.73° and 90.00°. Symmetry generates all atoms from Co at (0.0965, 0.0000, 0.3100), Co at (0.1739, 0.5000, 0.7724), Ni at (0.0000, 0.0000, 0.0000), Ni at (0.1115, 0.5000, 0.4572), Ni at (0.1556, 0.0000, 0.6166), Ni at (0.2006, 0.0000, 0.9101) and Ir at (0.0000, 0.5000, 0.0000).


Below is Ti2ZnIr3 after structural relaxation, with properties calculated at the PBE level.

The value obtained for the volume is 89 Å³ per cell. The calculation puts the energy of formation at -712 meV per atom. The calculation puts the total magnetic moment at 0.0 μB/f.u.

The structure belongs to space group P4/mmm (No. 123); the cell edges are 2.9766, 2.9766 and 10.0174 Å and the angles 90.00°, 90.00° and 90.00°. Symmetry generates all atoms from Ti at (0.0000, 0.0000, 0.1742), Zn at (0.0000, 0.0000, 0.5000), Ir at (0.5000, 0.5000, 0.0000) and Ir at (0.5000, 0.5000, 0.3315).


Below is Tb2ScNi after structural relaxation, with properties calculated at the PBE level.

The value obtained for the volume is 96 Å³ per cell. The calculation puts the energy of formation at -135 meV per atom. The energy relative to the lowest polymorph listed for this composition is 97 meV per atom. The calculation puts the total magnetic moment at 0.0 μB/f.u.

The structure belongs to space group P4/mmm (No. 123); the cell edges are 3.4535, 3.4535 and 8.0624 Å and the angles 90.00°, 90.00° and 90.00°. Symmetry generates all atoms from Tb at (0.0000, 0.0000, 0.2014), Sc at (0.5000, 0.5000, 0.5000) and Ni at (0.5000, 0.5000, 0.0000).


Below is Pm2Dy3Th4 after structural relaxation, with properties calculated at the PBE level.

The value obtained for the volume is 586 Å³ per cell. The calculation puts the energy of formation at 38 meV per atom. The calculation puts the total magnetic moment at 0.0 μB/f.u.

The structure belongs to space group C2/m (No. 12); the cell edges are 15.2177, 5.0542 and 8.0400 Å and the angles 90.00°, 108.71° and 90.00°. Symmetry generates all atoms from Pm at (0.0600, 0.0000, 0.3314), Dy at (0.0000, 0.5000, 0.0000), Dy at (0.1164, 0.5000, 0.6721), Th at (0.1700, 0.0000, 0.0023) and Th at (0.2229, 0.5000, 0.3319).


Below is TmMnNi2 after structural relaxation, with properties calculated at the PBE level.

The value obtained for the volume is 61 Å³ per cell. The calculation puts the energy of formation at -176 meV per atom. The energy relative to the lowest polymorph listed for this composition is 11 meV per atom. The calculation puts the total magnetic moment at 4.5 μB/f.u.

The structure belongs to space group P4/mmm (No. 123); the cell edges are 3.1563, 3.1563 and 6.1430 Å and the angles 90.00°, 90.00° and 90.00°. Symmetry generates all atoms from Tm at (0.0000, 0.0000, 0.0000), Mn at (0.0000, 0.0000, 0.5000) and Ni at (0.5000, 0.5000, 0.2875).


Below is BaLi2SnRh after structural relaxation, with properties calculated at the PBE level.

The value obtained for the volume is 130 Å³ per cell. The calculation puts the energy of formation at -313 meV per atom. The calculation puts the total magnetic moment at 0.0 μB/f.u.

The structure belongs to space group P4/mmm (No. 123); the cell edges are 5.0566, 5.0566 and 5.0816 Å and the angles 90.00°, 90.00° and 90.00°. Symmetry generates all atoms from Ba at (0.0000, 0.0000, 0.0000), Li at (0.0000, 0.5000, 0.5000), Sn at (0.5000, 0.5000, 0.0000) and Rh at (0.5000, 0.5000, 0.5000).


Below is SrPb2Br after structural relaxation, with properties calculated at the PBE level.

The value obtained for the volume is 266 Å³ per cell. The uncorrected formation energy comes out at -392 meV per atom. The energy relative to the lowest polymorph listed for this composition is 374 meV per atom. The calculation puts the total magnetic moment at 0.0 μB/f.u.

The structure belongs to space group Cmmm (No. 65); the cell edges are 6.4835, 10.8053 and 3.7939 Å and the angles 90.00°, 90.00° and 90.00°. Symmetry generates all atoms from Sr at (0.0000, 0.0000, 0.0000), Pb at (0.2500, 0.2500, 0.5000) and Br at (0.0000, 0.5000, 0.0000).